# 1
BaTb4Mn3O12 | PBE with a Hubbard U | relaxed

Cell lengths 8.2764, 8.2764, 8.2764 Å; angles 90.00, 90.00, 90.00 degrees
Last column: nearest neighbours and their distance in Å.
Space group Im-3 (No. 204)
Inequivalent atoms, fractional coordinates:
Ba  0.0000  0.0000  0.0000 (multiplicity 2)  12 O 2.99
Tb  0.2500  0.2500  0.2500 (multiplicity 8)  6 O 2.29
Mn  0.0000  0.0000  0.5000 (multiplicity 6)  4 O 1.94
O  0.0000  0.3257  0.1575 (multiplicity 24)  1 Mn 1.94


# 2
Ba2Tb2Mn4O11 | PBE with a Hubbard U | relaxed

Cell lengths 8.2568, 15.5972, 7.6829 Å; angles 90.00, 90.00, 90.00 degrees
Last column: nearest neighbours and their distance in Å.
Space group Ibam (No. 72)
Inequivalent atoms, fractional coordinates:
Ba  0.2480  0.2484  0.0000 (multiplicity 8)  9 O 2.79-3.11
Tb  0.2231  0.0044  0.5000 (multiplicity 8)  4 O 2.33-2.34
Mn  0.0000  0.1249  0.2500 (multiplicity 8)  4 O 1.93-1.95
Mn  0.0000  0.3859  0.2500 (multiplicity 8)  5 O 1.94-2.14
O  0.0000  0.0000  0.2500 (multiplicity 4)  2 Mn 1.95
O  0.0000  0.2485  0.2500 (multiplicity 8)  2 Mn 1.93-2.14
O  0.0334  0.1155  0.5000 (multiplicity 8)  2 Mn 1.95
O  0.0499  0.4073  0.0000 (multiplicity 8)  2 Mn 1.99
O  0.2303  0.4006  0.2881 (multiplicity 16)  1 Mn 1.94


# 3
Ba3TbMn2O9 | PBE with a Hubbard U | relaxed

Cell lengths 5.8194, 5.8194, 7.1867 Å; angles 90.00, 90.00, 120.00 degrees
Last column: nearest neighbours and their distance in Å.
Space group P-3m1 (No. 164)
Inequivalent atoms, fractional coordinates:
Ba  0.0000  0.0000  0.0000 (multiplicity 1)  12 O 2.89-2.91
Ba  0.3333  0.6667  0.6800 (multiplicity 2)  12 O 2.85-3.05
Tb  0.0000  0.0000  0.5000 (multiplicity 1)  6 O 2.24
Mn  0.3333  0.6667  0.1649 (multiplicity 2)  6 O 1.89-2.06
O  0.0000  0.5000  0.0000 (multiplicity 3)  2 Mn 2.06
O  0.1788  0.3577  0.3144 (multiplicity 6)  1 Mn 1.89


It is found that the total energy values, taken in the order of the records, are -306.971; -570.349; -103.894 eV per cell.
It is found that the D(E_F) values, taken in the order of the records, are 24.3; 0.5; 6.6 states/eV/cell.